VASP calculation (meta-GGA SCAN) on a crystal of CuTc5 relaxed with PBEsol.

Computed properties:
For the energy of formation from the pure elements, the calculation gives 0.050 eV/atom. The space group is Amm2, No. 38. The value obtained for the polymorph energy (0 for the lowest one) is 0 meV/atom.

Structure (POSCAR):
```
CuTc5
1.0
2.715 0.000 0.000
0.000 4.285 0.000
-1.358 0.000 6.992
Cu Tc
1 5
direct
0.999 0.000 0.998 Cu
0.667 0.000 0.334 Tc
0.445 0.500 0.891 Tc
0.776 0.500 0.552 Tc
0.336 0.000 0.672 Tc
0.110 0.500 0.219 Tc
```